Compound: NpBeRuC
Source: Alexandria via LeMat-Bulk
Functional: PBE-GGA
Structure: relaxed

The space group is P4/nmm, No. 129. For the spin magnetization, the calculation gives 0.678 μB/atom. The calculated volume comes out at 13.57 A^3/atom. The calculation puts the formation enthalpy at 0 K at 0.030 eV/atom. The crystal system is tetragonal.

Cell: 3.6030 3.6030 8.3649 Å, 90.00 90.00 90.00°
Last column: nearest neighbours and their distance in Å.
Fractional positions:
Np  0.2500  0.2500  0.1574  1 C 2.27
Np  0.7500  0.7500  0.8426  1 C 2.27
Be  0.2500  0.2500  0.6815  1 C 1.71
Be  0.7500  0.7500  0.3185  1 C 1.71
Ru  0.2500  0.7500  0.5000  4 Be 2.36, 4 Ru 2.55
Ru  0.7500  0.2500  0.5000  4 Be 2.36, 4 Ru 2.55
C  0.2500  0.2500  0.8856  1 Be 1.71
C  0.7500  0.7500  0.1144  1 Be 1.71



Compound: BeC3O
Source: Alexandria via LeMat-Bulk
Functional: PBE-GGA
Structure: relaxed

The space group is Pm-3m, No. 221. For the spin magnetization, the calculation gives 0.000 μB/atom. As for the uncorrected formation energy: 3.131 eV/atom. As for the excess energy over the best structure of this formula in the dataset: 300.2 meV/atom. The calculated volume comes out at 8.81 A^3/atom. The crystal system is cubic.

Cell: 3.5312 3.5312 3.5312 Å, 90.00 90.00 90.00°
Last column: nearest neighbours and their distance in Å.
Fractional positions:
Be  0.0000  0.0000  0.0000  12 C 2.50
C  0.0000  0.5000  0.5000  2 O 1.77
C  0.5000  0.0000  0.5000  2 O 1.77
C  0.5000  0.5000  0.0000  2 O 1.77
O  0.5000  0.5000  0.5000  6 C 1.77



Compound: BeC2O
Source: Alexandria via LeMat-Bulk
Functional: PBE-GGA
Structure: relaxed

The space group is Fm-3m, No. 225. For the spin magnetization, the calculation gives 0.000 μB/atom. As for the uncorrected formation energy: 2.673 eV/atom. As for the excess energy over the best structure of this formula in the dataset: 1403.2 meV/atom. The calculated volume comes out at 7.88 A^3/atom. The crystal system is cubic.

Cell: 5.0147 5.0147 5.0147 Å, 90.00 90.00 90.00°
Last column: nearest neighbours and their distance in Å.
Fractional positions:
Be  0.0000  0.0000  0.0000  8 C 2.17
Be  0.0000  0.5000  0.5000  8 C 2.17
Be  0.5000  0.0000  0.5000  8 C 2.17
Be  0.5000  0.5000  0.0000  8 C 2.17
C  0.2500  0.2500  0.2500  4 O 2.17, 4 Be 2.17
C  0.2500  0.2500  0.7500  4 O 2.17, 4 Be 2.17
C  0.2500  0.7500  0.2500  4 O 2.17, 4 Be 2.17
C  0.2500  0.7500  0.7500  4 O 2.17, 4 Be 2.17
C  0.7500  0.2500  0.2500  4 O 2.17, 4 Be 2.17
C  0.7500  0.2500  0.7500  4 O 2.17, 4 Be 2.17
C  0.7500  0.7500  0.2500  4 O 2.17, 4 Be 2.17
C  0.7500  0.7500  0.7500  4 O 2.17, 4 Be 2.17
O  0.0000  0.0000  0.5000  8 C 2.17
O  0.0000  0.5000  0.0000  8 C 2.17
O  0.5000  0.0000  0.0000  8 C 2.17
O  0.5000  0.5000  0.5000  8 C 2.17



Compound: BeC2O
Source: Alexandria via LeMat-Bulk
Functional: PBE-GGA
Structure: relaxed

The space group is I-42d, No. 122. For the spin magnetization, the calculation gives 0.000 μB/atom. As for the uncorrected formation energy: 1.270 eV/atom. As for the excess energy over the best structure of this formula in the dataset: 0.0 meV/atom. The calculated volume comes out at 7.75 A^3/atom. The crystal system is tetragonal.

Cell: 3.9873 3.9873 7.7968 Å, 90.00 90.00 90.00°
Last column: nearest neighbours and their distance in Å.
Fractional positions:
Be  0.0000  0.0000  0.0000  4 C 1.74
Be  0.0000  0.5000  0.2500  4 C 1.74
Be  0.5000  0.0000  0.7500  4 C 1.74
Be  0.5000  0.5000  0.5000  4 C 1.74
C  0.2408  0.2500  0.6250  2 O 1.69, 2 Be 1.74
C  0.2500  0.7408  0.8750  2 O 1.69, 2 Be 1.74
C  0.2500  0.7592  0.3750  2 O 1.69, 2 Be 1.74
C  0.2592  0.2500  0.1250  2 O 1.69, 2 Be 1.74
C  0.7408  0.7500  0.1250  2 O 1.69, 2 Be 1.74
C  0.7500  0.2408  0.3750  2 O 1.69, 2 Be 1.74
C  0.7500  0.2592  0.8750  2 O 1.69, 2 Be 1.74
C  0.7592  0.7500  0.6250  2 O 1.69, 2 Be 1.74
O  0.0000  0.0000  0.5000  4 C 1.69
O  0.0000  0.5000  0.7500  4 C 1.69
O  0.5000  0.0000  0.2500  4 C 1.69
O  0.5000  0.5000  0.0000  4 C 1.69



What is the calculated volume in the first record? 13.57 A^3/atom